## BaSnHg2Pd (PBE)

Data for a relaxed BaSnHg2Pd crystal.

Results
Theoretical density ... 9.2 g/cm3
Total energy ... -27.28 eV per cell

```
data_BaSnHg2Pd
_chemical_formula_sum 'Ba2 Sn2 Hg4 Pd2'
_symmetry_space_group_name_H-M 'I -4 m 2'
_symmetry_Int_Tables_number 119
_symmetry_space_group_name_Hall 'I -4 -2'
_cell_length_a 4.750
_cell_length_b 4.750
_cell_length_c 12.249
_cell_angle_alpha 90.00
_cell_angle_beta 90.00
_cell_angle_gamma 90.00
loop_
_atom_site_label
_atom_site_fract_x
_atom_site_fract_y
_atom_site_fract_z
_atom_site_occupancy
Ba1 0.000 0.000 0.000 1
Sn1 0.000 0.500 0.750 1
Hg1 0.000 0.000 0.382 1
Pd1 0.000 0.500 0.250 1
```